## MnZnTeI2 (PBE)

Data for MnZnTeI2 after structural relaxation. Values from VASP.

The structure in Quantum ESPRESSO input format:
```
&SYSTEM
  ibrav = 0, nat = 5, ntyp = 4
/
ATOMIC_SPECIES
Mn 54.94 Mn.upf
Zn 65.41 Zn.upf
Te 127.60 Te.upf
I 126.90 I.upf
ATOMIC_POSITIONS crystal
Mn 0.000 0.000 0.000
Zn 0.500 0.500 0.500
Te 0.000 0.000 0.500
I 0.000 0.500 0.000
I 0.500 0.000 0.000
CELL_PARAMETERS angstrom
5.585 0.000 0.000
0.000 5.585 0.000
0.000 0.000 4.858
```

- DOS(E_F): 6.08 states/eV/cell
- ΔE_f (raw): 216 kJ/mol of formula units
- Relative energy among the computed polymorphs: 0.0296 eV per atom

---

## MnZnTe2I (PBE)

Data for MnZnTe2I after structural relaxation. Values from VASP.

The structure in Quantum ESPRESSO input format:
```
&SYSTEM
  ibrav = 0, nat = 5, ntyp = 4
/
ATOMIC_SPECIES
Mn 54.94 Mn.upf
Zn 65.41 Zn.upf
Te 127.60 Te.upf
I 126.90 I.upf
ATOMIC_POSITIONS crystal
Mn 0.000 0.000 0.000
Zn 0.500 0.500 0.500
Te 0.000 0.500 0.500
Te 0.500 0.000 0.500
I 0.500 0.500 0.000
CELL_PARAMETERS angstrom
5.275 0.000 0.000
0.000 5.275 0.000
0.000 0.000 5.688
```

- DOS(E_F): 4.57 states/eV/cell
- ΔE_f (raw): 265 kJ/mol of formula units
- Relative energy among the computed polymorphs: 0.0820 eV per atom

---

Short version: magnetization = 0.20 4.94 μB per formula unit, in the order given.